[1]
Below is Be2SeCl2 after structural relaxation, with properties calculated at the PBE-GGA level.

Output
symmetry: No. 127
magnetic moment: 0.000 μB per atom
density of states at the Fermi level: 2.49 states/eV/cell
uncorrected energy: -3.26 eV/atom
distance to the lowest polymorph of the same formula: 0 meV/atom
crystal system: tetragonal

Cell: 7.1288 7.1288 3.7656 Å, 90.00 90.00 90.00°
With the nearest neighbours (Å) after each atom.
Element x y z (fractional)
Cl 0.1477 0.6477 0.5000  2 Be 2.04
Cl 0.8523 0.3523 0.5000  2 Be 2.04
Cl 0.6477 0.8523 0.5000  2 Be 2.04
Cl 0.3523 0.1477 0.5000  2 Be 2.04
Se 0.0000 0.0000 0.0000  4 Be 2.53
Se 0.5000 0.5000 0.0000  4 Be 2.53
Be 0.7749 0.2749 0.0000  2 Cl 2.04
Be 0.7251 0.7749 0.0000  2 Cl 2.04
Be 0.2251 0.7251 0.0000  2 Cl 2.04
Be 0.2749 0.2251 0.0000  2 Cl 2.04



[2]
Below is ThTiPt2 after structural relaxation, with properties calculated at the PBE-GGA level.

Output
symmetry: No. 166
magnetic moment: 0.000 μB per atom
density of states at the Fermi level: 3.40 states/eV/cell
uncorrected energy: -7.88 eV/atom
DFT formation energy: -1034 meV per atom
distance to the lowest polymorph of the same formula: 0 meV/atom
crystal system: trigonal

Cell: 4.4398 4.4398 5.5536 Å, 66.44 66.44 60.00°
With the nearest neighbours (Å) after each atom.
Element x y z (fractional)
Pt 0.2136 0.2136 0.3592  3 Ti 2.66, 3 Pt 2.91
Pt 0.7864 0.7864 0.6408  3 Ti 2.66, 3 Pt 2.91
Th 0.0000 0.0000 0.0000  8 Pt 3.11-3.16
Ti 0.5000 0.5000 0.5000  6 Pt 2.66



[3]
Below is NdErCo after structural relaxation, with properties calculated at the PBE-GGA level.

Output
symmetry: No. 12
magnetic moment: 0.000 μB per atom
density of states at the Fermi level: 7.69 states/eV/cell
uncorrected energy: -5.59 eV/atom
DFT formation energy: -112 meV per atom
distance to the lowest polymorph of the same formula: 0 meV/atom
crystal system: monoclinic

Cell: 3.7833 6.0067 7.1416 Å, 90.25 74.64 71.64°
With the nearest neighbours (Å) after each atom.
Element x y z (fractional)
Er 0.2937 0.2864 0.1262  4 Co 2.75-2.94
Er 0.7063 0.7136 0.8738  4 Co 2.75-2.94
Nd 0.4199 0.7635 0.3966  2 Co 2.75
Nd 0.5801 0.2365 0.6034  2 Co 2.75
Co 0.9841 0.8937 0.1381  1 Co 2.35
Co 0.0159 0.1063 0.8619  1 Co 2.35



[4]
Below is Tl2ReBr7 after structural relaxation, with properties calculated at the PBE-GGA level.

Output
symmetry: No. 15
magnetic moment: 0.197 μB per atom
uncorrected energy: -3.32 eV/atom
crystal system: monoclinic

Cell: 9.0355 11.7615 11.9877 Å, 114.20 67.86 67.41°
With the nearest neighbours (Å) after each atom.
Element x y z (fractional)
Tl 0.2162 0.0605 0.1859  3 Br 3.09-3.18
Tl 0.7838 0.9395 0.8141  3 Br 3.09-3.18
Tl 0.4625 0.4395 0.3141  3 Br 3.09-3.18
Tl 0.5375 0.5605 0.6859  3 Br 3.09-3.18
Br 0.8173 0.0348 0.3576  1 Re 2.49
Br 0.1754 0.6142 0.6701  3 Tl 3.09-3.18
Br 0.2718 0.1709 0.5240  1 Re 2.38
Br 0.0333 0.6709 0.0240  1 Re 2.38
Br 0.1827 0.9652 0.6424  1 Re 2.49
Br 0.7240 0.2500 0.7500  1 Re 2.39
Br 0.7903 0.5348 0.8576  1 Re 2.49
Br 0.2760 0.7500 0.2500  1 Re 2.39
Br 0.8246 0.3858 0.3299  3 Tl 3.09-3.18
Br 0.2097 0.4652 0.1424  1 Re 2.49
Br 0.5403 0.1142 0.1701  3 Tl 3.09-3.18
Br 0.4597 0.8858 0.8299  3 Tl 3.09-3.18
Br 0.7282 0.8291 0.4760  1 Re 2.38
Br 0.9667 0.3291 0.9760  1 Re 2.38
Re 0.9880 0.2500 0.7500  5 Br 2.38-2.49
Re 0.0120 0.7500 0.2500  5 Br 2.38-2.49



[5]
Below is Li3SbPd after structural relaxation, with properties calculated at the PBE-GGA level.

Output
symmetry: No. 46
magnetic moment: 0.000 μB per atom
density of states at the Fermi level: 1.32 states/eV/cell
uncorrected energy: -3.47 eV/atom
distance to the lowest polymorph of the same formula: 0 meV/atom
crystal system: orthorhombic

Cell: 6.5376 6.5376 6.5376 Å, 89.53 114.58 126.32°
With the nearest neighbours (Å) after each atom.
Element x y z (fractional)
Pd 0.0313 0.5312 0.0001  4 Li 2.47-2.59, 2 Sb 2.64
Pd 0.5311 0.0312 0.9999  4 Li 2.47-2.59, 2 Sb 2.64
Sb 0.4720 0.2815 0.6905  2 Pd 2.64, 7 Li 2.76-2.95
Sb 0.5911 0.7815 0.3095  2 Pd 2.64, 7 Li 2.76-2.95
Li 0.5316 0.2985 0.2659  1 Pd 2.47
Li 0.0326 0.2657 0.7341  1 Pd 2.47
Li 0.5316 0.7657 0.7331  1 Pd 2.47
Li 0.9811 0.7813 0.6998  2 Pd 2.58-2.59, 1 Sb 2.76
Li 0.0815 0.2813 0.3002  2 Pd 2.58-2.59, 1 Sb 2.76
Li 0.0326 0.7985 0.2669  1 Pd 2.47



[6]
Below is KSi2Sb after structural relaxation, with properties calculated at the PBE-GGA level.

Output
symmetry: No. 123
magnetic moment: 0.000 μB per atom
density of states at the Fermi level: 0.72 states/eV/cell
uncorrected energy: -3.83 eV/atom
crystal system: tetragonal

Cell: 3.9021 3.9037 7.1349 Å, 90.00 90.00 90.00°
With the nearest neighbours (Å) after each atom.
Element x y z (fractional)
Sb 0.5000 0.5000 0.7500  8 Si 2.99
Si 0.0000 0.0000 0.9122  1 Si 2.31
Si 0.0000 0.0000 0.5878  1 Si 2.31
K 0.5000 0.5000 0.2500  2 Sb 3.57, 8 Si 3.66, 4 K 3.90



[7]
Below is NaSn2Te3 after structural relaxation, with properties calculated at the PBE-GGA level.

Output
symmetry: No. 62
magnetic moment: 0.000 μB per atom
density of states at the Fermi level: 10.24 states/eV/cell
uncorrected energy: -3.55 eV/atom
distance to the lowest polymorph of the same formula: 0 meV/atom
crystal system: orthorhombic

Cell: 6.1375 9.4025 13.4900 Å, 90.00 90.00 90.00°
With the nearest neighbours (Å) after each atom.
Element x y z (fractional)
Te 0.7500 0.3789 0.7396  3 Sn 2.99-3.10, 2 Na 3.23-3.26
Te 0.7500 0.3652 0.4228  2 Sn 2.93-2.95, 2 Na 3.07
Te 0.7500 0.8789 0.7604  3 Sn 2.99-3.10, 2 Na 3.23-3.26
Te 0.2500 0.1211 0.2396  3 Sn 2.99-3.10, 2 Na 3.23-3.26
Te 0.7500 0.8652 0.0772  2 Sn 2.93-2.95, 2 Na 3.07
Te 0.2500 0.1063 0.5935  5 Sn 3.10-3.41, 1 Na 3.38
Te 0.7500 0.3937 0.0935  5 Sn 3.10-3.41, 1 Na 3.38
Te 0.2500 0.6348 0.5772  2 Sn 2.93-2.95, 2 Na 3.07
Te 0.7500 0.8937 0.4065  5 Sn 3.10-3.41, 1 Na 3.38
Te 0.2500 0.1348 0.9228  2 Sn 2.93-2.95, 2 Na 3.07
Te 0.2500 0.6211 0.2604  3 Sn 2.99-3.10, 2 Na 3.23-3.26
Te 0.2500 0.6063 0.9065  5 Sn 3.10-3.41, 1 Na 3.38
Sn 0.2500 0.3391 0.7591  5 Te 2.93-3.20
Sn 0.7500 0.1609 0.2591  5 Te 2.93-3.20
Sn 0.2500 0.3472 0.0834  4 Te 2.95-3.10
Sn 0.7500 0.1528 0.5834  4 Te 2.95-3.10
Sn 0.2500 0.8391 0.7409  5 Te 2.93-3.20
Sn 0.2500 0.8472 0.4166  4 Te 2.95-3.10
Sn 0.7500 0.6609 0.2409  5 Te 2.93-3.20
Sn 0.7500 0.6528 0.9166  4 Te 2.95-3.10
Na 0.2500 0.3590 0.4155  6 Te 3.07-3.39
Na 0.7500 0.6410 0.5845  6 Te 3.07-3.39
Na 0.7500 0.1410 0.9155  6 Te 3.07-3.39
Na 0.2500 0.8590 0.0845  6 Te 3.07-3.39



[8]
Below is SrSn3As after structural relaxation, with properties calculated at the PBE-GGA level.

Output
symmetry: No. 221
magnetic moment: 0.000 μB per atom
density of states at the Fermi level: 11.55 states/eV/cell
uncorrected energy: -2.50 eV/atom
DFT formation energy: 1172 meV per atom
distance to the lowest polymorph of the same formula: 1117 meV/atom
crystal system: cubic

Cell: 5.9482 5.9482 5.9482 Å, 90.00 90.00 90.00°
With the nearest neighbours (Å) after each atom.
Element x y z (fractional)
Sn 0.0000 0.0000 0.5000  2 Sr 2.97
Sn 0.5000 0.0000 0.0000  2 Sr 2.97
Sn 0.0000 0.5000 0.0000  2 Sr 2.97
Sr 0.0000 0.0000 0.0000  6 Sn 2.97
As 0.5000 0.5000 0.5000  12 Sn 4.21



[9]
Below is Sr3TlW after structural relaxation, with properties calculated at the PBE-GGA level.

Output
symmetry: No. 221
magnetic moment: 0.963 μB per atom
density of states at the Fermi level: 3.60 states/eV/cell
uncorrected energy: -2.89 eV/atom
DFT formation energy: 1180 meV per atom
distance to the lowest polymorph of the same formula: 275 meV/atom
crystal system: cubic

Cell: 6.2378 6.2378 6.2378 Å, 90.00 90.00 90.00°
With the nearest neighbours (Å) after each atom.
Element x y z (fractional)
W 0.5000 0.5000 0.5000  12 Sr 4.41
Sr 0.0000 0.5000 0.0000  2 Tl 3.12
Sr 0.5000 0.0000 0.0000  2 Tl 3.12
Sr 0.0000 0.0000 0.5000  2 Tl 3.12
Tl 0.0000 0.0000 0.0000  6 Sr 3.12



[10]
Below is Y2SiNi after structural relaxation, with properties calculated at the PBE-GGA level.

Output
symmetry: No. 216
magnetic moment: 0.000 μB per atom
density of states at the Fermi level: 5.69 states/eV/cell
uncorrected energy: -5.96 eV/atom
crystal system: cubic

Cell: 4.8014 4.8014 4.8014 Å, 60.00 60.00 60.00°
With the nearest neighbours (Å) after each atom.
Element x y z (fractional)
Y 0.7500 0.7500 0.7500  4 Ni 2.94, 4 Y 2.94
Y 0.0000 0.0000 0.0000  4 Si 2.94, 4 Y 2.94
Ni 0.5000 0.5000 0.5000  4 Si 2.94, 4 Y 2.94
Si 0.2500 0.2500 0.2500  4 Ni 2.94, 4 Y 2.94



[11]
Below is BaPSe3 after structural relaxation, with properties calculated at the PBE-GGA level.

Output
symmetry: No. 221
magnetic moment: 0.000 μB per atom
density of states at the Fermi level: 3.59 states/eV/cell
uncorrected energy: -4.25 eV/atom
distance to the lowest polymorph of the same formula: 319 meV/atom
crystal system: cubic

Cell: 5.0538 5.0538 5.0538 Å, 90.00 90.00 90.00°
With the nearest neighbours (Å) after each atom.
Element x y z (fractional)
Ba 0.5000 0.5000 0.5000  12 Se 3.57
Se 0.0000 0.0000 0.5000  2 P 2.53
Se 0.5000 0.0000 0.0000  2 P 2.53
Se 0.0000 0.5000 0.0000  2 P 2.53
P 0.0000 0.0000 0.0000  6 Se 2.53



[12]
Below is Cr2RuCl after structural relaxation, with properties calculated at the PBE-GGA level.

Output
symmetry: No. 123
magnetic moment: 0.000 μB per atom
density of states at the Fermi level: 4.91 states/eV/cell
uncorrected energy: -6.92 eV/atom
distance to the lowest polymorph of the same formula: 475 meV/atom
crystal system: tetragonal

Cell: 2.7481 4.3608 4.3608 Å, 90.00 90.00 90.00°
With the nearest neighbours (Å) after each atom.
Element x y z (fractional)
Cr 0.0000 0.5000 0.5000  4 Cl 2.58, 4 Ru 2.58, 2 Cr 2.75
Cr 0.0000 0.0000 0.0000  4 Ru 2.58, 4 Cl 2.58, 2 Cr 2.75
Ru 0.5000 0.5000 0.0000  8 Cr 2.58, 2 Ru 2.75
Cl 0.5000 0.0000 0.5000  8 Cr 2.58, 2 Cl 2.75